Here is a crystal of RuSN2F relaxed with PBEsol from Alexandria. Energies are from meta-GGA SCAN.

```
RuSN2F
1.0
3.819 0.000 0.000
0.000 3.819 0.000
0.000 0.000 3.938
F N Ru S
1 2 1 1
Cartesian
0.000 0.000 1.969 F
0.000 1.909 0.000 N
1.909 0.000 0.000 N
0.000 0.000 0.000 Ru
1.909 1.909 1.969 S
```

Computed properties:
Energy above the most stable polymorph in this dataset: 0.0 kJ/mol of atoms
Crystal system: tetragonal
Uncorrected formation energy: 3.78 eV per formula unit
Volume: 57 Å³ per cell
Uncorrected energy: -62.8 eV/cell
N(E_F): 0.42 states/eV/atom

***

Here is a crystal of KAlRe relaxed with PBEsol from Alexandria. Energies are from meta-GGA SCAN.

```
KAlRe
1.0
2.665 0.000 0.000
0.000 4.945 0.000
0.000 -2.473 4.283
Re Al K
1 1 1
Cartesian
0.657 2.473 1.428 Re
0.297 0.000 0.000 Al
1.711 0.000 2.855 K
```

Computed properties:
Energy above the most stable polymorph in this dataset: 56.5 kJ/mol of atoms
Energy of formation: 1.20 eV per atom
Crystal system: trigonal
Volume: 56 Å³ per cell
Uncorrected energy: -83.6 eV/cell
N(E_F): 0.77 states/eV/atom

***

Here is a crystal of ZrAlMo relaxed with PBEsol from Alexandria. Energies are from meta-GGA SCAN.

```
ZrAlMo
1.0
5.243 0.000 0.000
-2.621 4.555 0.000
0.000 0.000 8.767
Al Mo Zr
4 4 4
Cartesian
0.000 0.032 2.186 Al
0.000 0.032 6.581 Al
-1.285 3.761 0.000 Al
1.285 3.761 0.000 Al
2.621 3.029 4.384 Mo
0.000 1.522 0.000 Mo
1.345 0.802 4.384 Mo
3.898 0.802 4.384 Mo
0.000 3.013 2.762 Zr
0.000 3.013 6.005 Zr
2.621 1.503 1.632 Zr
2.621 1.503 7.136 Zr
```

Computed properties:
Energy of formation: -0.37 eV per atom
Crystal system: orthorhombic
Volume: 209 Å³ per cell
Uncorrected energy: -297.8 eV/cell
N(E_F): 0.82 states/eV/atom

***

Here is a crystal of TaNi2W relaxed with PBEsol from Alexandria. Energies are from meta-GGA SCAN.

```
TaNi2W
1.0
-1.885 2.187 -1.160
-2.475 -1.696 0.823
-0.096 2.560 4.983
Ta Ni W
1 2 1
Cartesian
-0.045 1.206 2.348 Ta
-0.001 0.019 0.038 Ni
-2.203 0.851 1.012 Ni
-2.255 2.254 3.742 W
```

Computed properties:
Energy of formation: -0.04 eV per atom
Crystal system: tetragonal
Volume: 54 Å³ per cell
Uncorrected energy: -168.8 eV/cell
N(E_F): 0.82 states/eV/atom

***

Here is a crystal of TaGaSe3 relaxed with PBEsol from Alexandria. Energies are from meta-GGA SCAN.

```
TaGaSe3
1.0
5.001 0.000 0.000
0.000 5.001 0.000
0.000 0.000 5.001
Se Ta Ga
3 1 1
Cartesian
0.000 0.000 2.500 Se
2.500 0.000 0.000 Se
0.000 2.500 0.000 Se
0.000 0.000 0.000 Ta
2.500 2.500 2.500 Ga
```

Computed properties:
Crystal system: cubic
Uncorrected formation energy: -1.25 eV per formula unit
Volume: 125 Å³ per cell
Uncorrected energy: -144.4 eV/cell
N(E_F): 0.45 states/eV/atom

***

Here is a crystal of MgBe2Fe relaxed with PBEsol from Alexandria. Energies are from meta-GGA SCAN.

```
MgBe2Fe
1.0
-1.324 -1.063 2.061
2.925 -2.713 0.479
1.116 4.387 1.251
Fe Mg Be
1 1 2
Cartesian
1.832 2.393 2.412 Fe
2.439 -0.087 1.522 Mg
0.273 0.681 2.257 Be
0.089 0.123 0.121 Be
```

Computed properties:
Energy of formation: 0.22 eV per atom
Crystal system: monoclinic
Volume: 43 Å³ per cell
Uncorrected energy: -30.9 eV/cell
N(E_F): 0.52 states/eV/atom

***

Which of these has the lowest volume?
MgBe2Fe